Density functional theory data (GGA+U) for a geometry-optimized Li3Mn5OF11 structure.

Output
Theoretical density in Mg/m³: 3.4
Density of states at the Fermi level in states/eV/cell: 0.0
Magnetic moment in μB/atom: 1.25
E_tot in eV/atom: -6.03

Cell: 5.502 5.911 9.181 Å, 99.98 90.26 120.13°
Fractional coordinates of all 20 atoms:
1 Li 0.600 0.797 0.510
2 Li 0.868 0.163 0.215
3 Li 0.334 0.231 0.735
4 Mn 0.527 0.379 0.149
5 Mn 0.100 0.780 0.009
6 Mn 0.642 0.849 0.833
7 Mn 0.162 0.922 0.364
8 Mn 0.903 0.397 0.595
9 O 0.156 0.081 0.186
10 F 0.638 0.156 0.388
11 F 0.694 0.695 0.328
12 F 0.180 0.580 0.807
13 F 0.570 0.012 0.041
14 F 0.635 0.572 0.645
15 F 0.635 0.548 0.954
16 F 0.081 0.025 0.863
17 F 0.202 0.667 0.482
18 F 0.060 0.116 0.559
19 F 0.992 0.516 0.163
20 F 0.597 0.088 0.701